[1]
VASP calculation (PBE) on crystalline Ba3Nd2NpN6 at its relaxed geometry.

```
12
Lattice="3.1877 -5.5001 0.0000 3.1877 5.5001 0.0000 -2.0924 0.0000 6.4132" Properties=species:S:1:pos:R:3 pbc="T T T"
Ba 0.0000 0.0000 0.0000
Ba 3.1877 1.8518 0.0000
Ba 3.1877 -1.8518 0.0000
Nd 2.1415 3.6745 3.2066
Nd 2.1415 -3.6745 3.2066
Np 2.1415 0.0000 3.2066
N 1.2147 1.5802 2.0230
N 0.2609 0.0000 4.4754
N 1.2147 -1.5802 2.0230
N 3.0683 1.5802 4.3902
N 4.0221 0.0000 1.9378
N 3.0683 -1.5802 4.3902
```

Output
- Formation energy from raw total energies: -0.942 eV per atom



[2]
VASP calculation (PBE) on crystalline TiGe at its relaxed geometry.

```
12
Lattice="7.1250 0.0000 0.0000 0.0000 7.1250 0.0000 0.0000 0.0000 7.1250" Properties=species:S:1:pos:R:3 pbc="T T T"
Ti 0.0000 1.7813 3.5625
Ti 0.0000 5.3438 3.5625
Ti 1.7813 3.5625 0.0000
Ti 3.5625 0.0000 1.7813
Ti 3.5625 0.0000 5.3438
Ti 5.3438 3.5625 0.0000
Ge 0.0000 3.5625 1.7813
Ge 0.0000 3.5625 5.3438
Ge 1.7813 0.0000 3.5625
Ge 3.5625 1.7813 0.0000
Ge 3.5625 5.3438 0.0000
Ge 5.3438 0.0000 3.5625
```

Output
- Formation energy: 0.45 eV per atom



[3]
VASP calculation (PBE) on crystalline Ac6CuRh2I3 at its relaxed geometry.

```
12
Lattice="3.8314 -6.6344 0.0000 3.8314 6.6344 0.0000 -2.5551 0.0000 8.6613" Properties=species:S:1:pos:R:3 pbc="T T T"
Ac -0.0384 2.2771 7.0534
Ac 1.2024 0.0000 1.6043
Ac -0.0384 -2.2771 7.0534
Ac 5.1461 2.2771 1.6079
Ac 3.9052 0.0000 7.0570
Ac 5.1461 -2.2771 1.6079
Cu 3.8314 0.0000 0.0000
Rh 3.8314 4.4220 0.0000
Rh 3.8314 -4.4220 0.0000
I -1.2775 0.0000 4.3306
I 2.5538 2.2006 4.3306
I 2.5538 -2.2006 4.3306
```

Output
- Formation energy from raw total energies: -0.882 eV per atom